DFT (PBE) results for crystalline Ac3Be2InPt9 at its relaxed geometry.

Summary:
SG   P-3m1 (164)
Uncorrected energy   -87.87 eV for the cell shown
Energy of formation   -0.733 eV per atom

a b c (Å): 6.9713 6.9713 7.3151
angles (deg): 90.00 90.00 120.00
Closest atoms and distances in Å follow each position.
Fractional positions:
Ac  0.0000  0.0000  0.0000  12 Pt 3.22-3.49
Ac  0.3333  0.6667  0.6649  6 Pt 3.12-3.17, 1 Be 3.34
Ac  0.6667  0.3333  0.3351  6 Pt 3.12-3.17, 1 Be 3.34
Be  0.3333  0.6667  0.1219  6 Pt 2.20-2.22
Be  0.6667  0.3333  0.8781  6 Pt 2.20-2.22
In  0.0000  0.0000  0.5000  6 Pt 2.67
Pt  0.0000  0.5000  0.0000  2 Be 2.20
Pt  0.1891  0.3781  0.3105  1 Be 2.22
Pt  0.1891  0.8109  0.3105  1 Be 2.22
Pt  0.3781  0.1891  0.6895  1 Be 2.22
Pt  0.5000  0.0000  0.0000  2 Be 2.20
Pt  0.5000  0.5000  0.0000  2 Be 2.20
Pt  0.6219  0.8109  0.3105  1 Be 2.22
Pt  0.8109  0.1891  0.6895  1 Be 2.22
Pt  0.8109  0.6219  0.6895  1 Be 2.22

***

DFT (PBE) results for crystalline BaLa2Lu at its relaxed geometry.

Summary:
SG   P4/mmm (123)
Uncorrected energy   -15.86 eV for the cell shown
Energy of formation   0.110 eV per atom

a b c (Å): 3.9086 3.9086 10.4916
angles (deg): 90.00 90.00 90.00
Closest atoms and distances in Å follow each position.
Fractional positions:
Ba  0.0000  0.0000  0.0000  4 Ba 3.91, 8 La 4.13
La  0.5000  0.5000  0.2923  4 Lu 3.52, 4 La 3.91
La  0.5000  0.5000  0.7077  4 Lu 3.52, 4 La 3.91
Lu  0.0000  0.0000  0.5000  8 La 3.52, 4 Lu 3.91

***

DFT (PBE) results for crystalline BaS3I at its relaxed geometry.

Summary:
SG   Pm-3m (221)
ΔE_f (raw)   -9.5 kcal/mol of atoms
Energy above the lowest structure with this stoichiometry   199 kJ/mol of formula units
Uncorrected energy   -17.91 eV for the cell shown

a b c (Å): 5.1938 5.1938 5.1938
angles (deg): 90.00 90.00 90.00
Closest atoms and distances in Å follow each position.
Fractional positions:
Ba  0.0000  0.0000  0.0000  12 S 3.67
S  0.0000  0.5000  0.5000  2 I 2.60
S  0.5000  0.0000  0.5000  2 I 2.60
S  0.5000  0.5000  0.0000  2 I 2.60
I  0.5000  0.5000  0.5000  6 S 2.60

***

Repeat the first record exactly.
DFT (PBE) results for crystalline Ac3Be2InPt9 at its relaxed geometry.

Summary:
SG   P-3m1 (164)
Uncorrected energy   -87.87 eV for the cell shown
Energy of formation   -0.733 eV per atom

a b c (Å): 6.9713 6.9713 7.3151
angles (deg): 90.00 90.00 120.00
Closest atoms and distances in Å follow each position.
Fractional positions:
Ac  0.0000  0.0000  0.0000  12 Pt 3.22-3.49
Ac  0.3333  0.6667  0.6649  6 Pt 3.12-3.17, 1 Be 3.34
Ac  0.6667  0.3333  0.3351  6 Pt 3.12-3.17, 1 Be 3.34
Be  0.3333  0.6667  0.1219  6 Pt 2.20-2.22
Be  0.6667  0.3333  0.8781  6 Pt 2.20-2.22
In  0.0000  0.0000  0.5000  6 Pt 2.67
Pt  0.0000  0.5000  0.0000  2 Be 2.20
Pt  0.1891  0.3781  0.3105  1 Be 2.22
Pt  0.1891  0.8109  0.3105  1 Be 2.22
Pt  0.3781  0.1891  0.6895  1 Be 2.22
Pt  0.5000  0.0000  0.0000  2 Be 2.20
Pt  0.5000  0.5000  0.0000  2 Be 2.20
Pt  0.6219  0.8109  0.3105  1 Be 2.22
Pt  0.8109  0.1891  0.6895  1 Be 2.22
Pt  0.8109  0.6219  0.6895  1 Be 2.22

***

Among the records above, which one has the lowest uncorrected energy? Ac3Be2InPt9

***

Look up the uncorrected energy of the third one. -17.91 eV for the cell shown

***

Look up the uncorrected energy of the first one. -87.87 eV for the cell shown